# 1
The following is a PBE calculation of PuHfScTi after structural relaxation, from Alexandria.

Values from the calculation:
Spin magnetization: 26.095 μB/cell
E_form: 228 meV per atom
V: 21.80 Å³ per atom
Crystal system: cubic
N(E_F): 40.574 states/eV per cell
Mass density: 9.815 g/cm3

a b c (Å): 7.0389 7.0389 7.0389
angles (deg): 90.00 90.00 90.00
With the nearest neighbours (Å) after each atom.
Space group F-43m (No. 216)
Symmetry-distinct sites (fractional):
Pu (0.0000, 0.0000, 0.0000) x4  4 Hf 3.05, 4 Ti 3.05
Hf (0.2500, 0.2500, 0.2500) x4  4 Sc 3.05, 4 Pu 3.05
Sc (0.0000, 0.0000, 0.5000) x4  4 Hf 3.05, 4 Ti 3.05
Ti (0.2500, 0.2500, 0.7500) x4  4 Sc 3.05, 4 Pu 3.05



# 2
The following is a PBE calculation of HfSc3Zn after structural relaxation, from Alexandria.

Values from the calculation:
Spin magnetization: 0.934 μB/cell
E_form: 476 meV per atom
V: 25.08 Å³ per atom
Energy relative to the lowest polymorph listed for this composition: 0.000 eV per formula unit
Crystal system: cubic
N(E_F): 7.216 states/eV per cell
Mass density: 5.015 g/cm3

a b c (Å): 5.0054 5.0054 5.0054
angles (deg): 90.00 90.00 90.00
With the nearest neighbours (Å) after each atom.
Space group Pm-3m (No. 221)
Symmetry-distinct sites (fractional):
Hf (0.0000, 0.0000, 0.0000) x1  12 Sc 3.54
Sc (0.0000, 0.5000, 0.5000) x3  2 Zn 2.50
Zn (0.5000, 0.5000, 0.5000) x1  6 Sc 2.50



# 3
The following is a PBE calculation of CaBe2Ir2 after structural relaxation, from Alexandria.

Values from the calculation:
Spin magnetization: 0.000 μB/cell
E_form: -367 meV per atom
V: 13.66 Å³ per atom
Energy relative to the lowest polymorph listed for this composition: 0.000 eV per formula unit
Crystal system: tetragonal
N(E_F): 3.687 states/eV per cell
Mass density: 10.757 g/cm3

a b c (Å): 6.8461 6.8461 2.9151
angles (deg): 90.00 90.00 90.00
With the nearest neighbours (Å) after each atom.
Space group P4/mbm (No. 127)
Symmetry-distinct sites (fractional):
Ca (0.0000, 0.0000, 0.0000) x2  4 Be 2.72, 2 Ca 2.92, 8 Ir 2.97
Be (0.1214, 0.3786, 0.0000) x4  1 Be 2.35, 6 Ir 2.40-2.61
Ir (0.1544, 0.6544, 0.5000) x4  6 Be 2.40-2.61



# 4
The following is a PBE calculation of Cs3In2Sn9 after structural relaxation, from Alexandria.

Values from the calculation:
Spin magnetization: 0.000 μB/cell
E_form: -120 meV per atom
V: 35.30 Å³ per atom
Crystal system: orthorhombic
N(E_F): 11.692 states/eV per cell
Mass density: 5.701 g/cm3

a b c (Å): 4.8338 13.9782 14.6281
angles (deg): 90.00 90.00 90.00
With the nearest neighbours (Å) after each atom.
Space group Immm (No. 71)
Symmetry-distinct sites (fractional):
Cs (0.0000, 0.0000, 0.0000) x2  8 Sn 3.89, 2 Cs 3.96
Cs (0.0000, 0.0000, 0.2708) x4  10 Sn 3.85-4.13, 2 In 3.92, 1 Cs 3.96
In (0.0000, 0.1451, 0.5000) x4  8 Sn 3.11-3.47
Sn (0.0000, 0.2978, 0.1612) x8  3 Sn 3.01-3.16
Sn (0.0000, 0.3251, 0.3753) x8  3 Sn 3.01-3.16, 1 In 3.11
Sn (0.0000, 0.5000, 0.0000) x2  4 In 3.16



# 5
The following is a PBE calculation of Li2ScSnF after structural relaxation, from Alexandria.

Values from the calculation:
Spin magnetization: 0.000 μB/cell
V: 16.19 Å³ per atom
Crystal system: tetragonal
N(E_F): 0.642 states/eV per cell
Raw formation energy: -6.99 eV/f.u.
Mass density: 4.032 g/cm3

a b c (Å): 4.2013 4.2013 4.5853
angles (deg): 90.00 90.00 90.00
With the nearest neighbours (Å) after each atom.
Space group P4/mmm (No. 123)
Symmetry-distinct sites (fractional):
Li (0.0000, 0.5000, 0.0000) x2  2 F 2.10
Sc (0.0000, 0.0000, 0.5000) x1  2 F 2.29
Sn (0.5000, 0.5000, 0.5000) x1  4 Sc 2.97, 8 Li 3.11
F (0.0000, 0.0000, 0.0000) x1  4 Li 2.10, 2 Sc 2.29



# 6
The following is a PBE calculation of Cu2SiHgTe4 after structural relaxation, from Alexandria.

Values from the calculation:
Spin magnetization: 0.000 μB/cell
V: 28.86 Å³ per atom
Crystal system: tetragonal
N(E_F): 1.178 states/eV per cell
Raw formation energy: -0.90 eV/f.u.
Mass density: 6.230 g/cm3

a b c (Å): 6.2142 6.2142 11.9574
angles (deg): 90.00 90.00 90.00
With the nearest neighbours (Å) after each atom.
Space group I-42m (No. 121)
Symmetry-distinct sites (fractional):
Cu (0.0000, 0.5000, 0.2500) x4  4 Te 2.59
Si (0.0000, 0.0000, 0.0000) x2  4 Te 2.58
Hg (0.0000, 0.0000, 0.5000) x2  4 Te 2.88
Te (0.2286, 0.2286, 0.1357) x8  1 Si 2.58, 2 Cu 2.59, 1 Hg 2.88



# 7
The following is a PBE calculation of LiScOs2 after structural relaxation, from Alexandria.

Values from the calculation:
Spin magnetization: 0.000 μB/cell
E_form: 105 meV per atom
V: 15.03 Å³ per atom
Energy relative to the lowest polymorph listed for this composition: 0.552 eV per formula unit
Crystal system: tetragonal
N(E_F): 1.370 states/eV per cell
Mass density: 11.945 g/cm3

a b c (Å): 3.0644 3.0644 6.4007
angles (deg): 90.00 90.00 90.00
With the nearest neighbours (Å) after each atom.
Space group P4mm (No. 99)
Symmetry-distinct sites (fractional):
Li (0.0000, 0.0000, 0.0000) x1  4 Os 2.53, 4 Sc 2.78
Sc (0.5000, 0.5000, 0.7277) x1  4 Li 2.78, 5 Os 2.82-3.06, 4 Sc 3.06
Os (0.0000, 0.0000, 0.4453) x1  4 Os 2.66, 4 Sc 2.82, 1 Li 2.85
Os (0.5000, 0.5000, 0.2051) x1  4 Li 2.53, 4 Os 2.66



# 8
The following is a PBE calculation of Cs2HCl4 after structural relaxation, from Alexandria.

Values from the calculation:
Spin magnetization: 2.132 μB/cell
V: 35.62 Å³ per atom
Crystal system: tetragonal
N(E_F): 6.522 states/eV per cell
DFT total energy: -2.844 eV per atom
Mass density: 2.721 g/cm3

a b c (Å): 5.9888 5.9888 13.9058
angles (deg): 90.00 90.00 90.00
With the nearest neighbours (Å) after each atom.
Space group I4/mmm (No. 139)
Symmetry-distinct sites (fractional):
Cs (0.0000, 0.0000, 0.1384) x4  5 Cl 3.46-3.56, 1 Cs 3.85
H (0.0000, 0.0000, 0.5000) x2  2 Cl 1.57
Cl (0.0000, 0.0000, 0.3871) x4  1 H 1.57
Cl (0.0000, 0.5000, 0.0000) x4  2 H 2.99



# 9
The following is a PBE calculation of Mg2IrCl after structural relaxation, from Alexandria.

Values from the calculation:
Spin magnetization: 0.000 μB/cell
V: 17.79 Å³ per atom
Energy relative to the lowest polymorph listed for this composition: 0.828 eV per formula unit
Crystal system: trigonal
N(E_F): 3.304 states/eV per cell
Raw formation energy: -2.14 eV/f.u.
Mass density: 6.448 g/cm3

a b c (Å): 3.2194 3.2194 23.7819
angles (deg): 90.00 90.00 120.00
With the nearest neighbours (Å) after each atom.
Space group R-3m (No. 166, hexagonal axes)
Symmetry-distinct sites (fractional):
Mg (0.0000, 0.0000, 0.2462) x6  3 Ir 2.65, 3 Cl 2.78
Ir (0.0000, 0.0000, 0.5000) x3  6 Mg 2.65
Cl (0.0000, 0.0000, 0.0000) x3  6 Mg 2.78



# 10
The following is a PBE calculation of Ti2VSb2 after structural relaxation, from Alexandria.

Values from the calculation:
Spin magnetization: 1.467 μB/cell
V: 19.07 Å³ per atom
Energy relative to the lowest polymorph listed for this composition: 0.353 eV per formula unit
Crystal system: tetragonal
N(E_F): 8.144 states/eV per cell
Raw formation energy: -0.90 eV/f.u.
Mass density: 6.796 g/cm3

a b c (Å): 7.1289 7.1289 3.7523
angles (deg): 90.00 90.00 90.00
With the nearest neighbours (Å) after each atom.
Space group P4/mbm (No. 127)
Symmetry-distinct sites (fractional):
Ti (0.1500, 0.3500, 0.0000) x4  6 Sb 2.74-2.85, 1 Ti 3.02
V (0.0000, 0.0000, 0.5000) x2  4 Sb 2.71
Sb (0.1518, 0.6518, 0.5000) x4  2 V 2.71, 6 Ti 2.74-2.85



# 11
The following is a PBE calculation of Er5Bi2PtC after structural relaxation, from Alexandria.

Values from the calculation:
Spin magnetization: 0.000 μB/cell
E_form: -617 meV per atom
V: 25.75 Å³ per atom
Crystal system: tetragonal
N(E_F): 4.807 states/eV per cell
Mass density: 10.470 g/cm3

a b c (Å): 4.6288 4.6288 10.8175
angles (deg): 90.00 90.00 90.00
With the nearest neighbours (Å) after each atom.
Space group P4/mmm (No. 123)
Symmetry-distinct sites (fractional):
Er (0.0000, 0.0000, 0.0000) x1  2 Bi 3.12, 4 Pt 3.27
Er (0.0000, 0.5000, 0.5000) x2  2 C 2.31
Er (0.5000, 0.5000, 0.2463) x2  1 Pt 2.66, 1 C 2.74
Bi (0.0000, 0.0000, 0.2884) x2  9 Er 3.12-3.30
Pt (0.5000, 0.5000, 0.0000) x1  2 Er 2.66
C (0.5000, 0.5000, 0.5000) x1  4 Er 2.31



# 12
The following is a PBE calculation of NbCuBiO5 after structural relaxation, from Alexandria.

Values from the calculation:
Spin magnetization: 3.905 μB/cell
V: 13.60 Å³ per atom
Crystal system: monoclinic
N(E_F): 6.848 states/eV per cell
Raw formation energy: -12.31 eV/f.u.
Mass density: 6.799 g/cm3

a b c (Å): 6.4420 9.5052 7.6673
angles (deg): 90.00 112.06 90.00
With the nearest neighbours (Å) after each atom.
Space group C2/c (No. 15)
Symmetry-distinct sites (fractional):
Nb (0.0000, 0.0000, 0.0000) x4  6 O 2.00-2.04
Cu (0.0000, 0.3294, 0.2500) x4  4 O 1.93-1.94
Bi (0.0000, 0.3247, 0.7500) x4  3 O 2.30-2.52
O (0.0000, 0.0601, 0.7500) x4  2 Nb 2.00
O (0.0638, 0.2057, 0.0757) x8  1 Cu 1.94, 1 Nb 2.04
O (0.1672, 0.4772, 0.4160) x8  1 Cu 1.93, 1 Nb 2.01



# 13
The following is a PBE calculation of Y2Co2Si after structural relaxation, from Alexandria.

Values from the calculation:
Spin magnetization: 0.000 μB/cell
V: 17.74 Å³ per atom
Energy relative to the lowest polymorph listed for this composition: 0.000 eV per formula unit
Crystal system: monoclinic
N(E_F): 16.743 states/eV per cell
Raw formation energy: -2.54 eV/f.u.
Mass density: 6.060 g/cm3

a b c (Å): 9.2003 5.4051 7.3168
angles (deg): 90.00 102.78 90.00
With the nearest neighbours (Å) after each atom.
Space group C2/c (No. 15)
Symmetry-distinct sites (fractional):
Y (0.1496, 0.1359, 0.1485) x8  6 Co 2.85-2.92, 2 Si 3.10-3.15
Co (0.1304, 0.3653, 0.5033) x8  2 Si 2.38-2.39, 1 Co 2.54
Si (0.0000, 0.3838, 0.7500) x4  4 Co 2.38-2.39



# 14
The following is a PBE calculation of RbHoS2 after structural relaxation, from Alexandria.

Values from the calculation:
Spin magnetization: 0.000 μB/cell
V: 27.46 Å³ per atom
Crystal system: trigonal
N(E_F): 0.000 states/eV per cell
Raw formation energy: -7.42 eV/f.u.
Mass density: 4.755 g/cm3

a b c (Å): 4.0638 4.0638 23.0376
angles (deg): 90.00 90.00 120.00
With the nearest neighbours (Å) after each atom.
Space group R-3m (No. 166, hexagonal axes)
Symmetry-distinct sites (fractional):
Rb (0.0000, 0.0000, 0.0000) x3  6 S 3.34
Ho (0.0000, 0.0000, 0.5000) x3  6 S 2.77
S (0.0000, 0.0000, 0.2303) x6  3 Ho 2.77



# 15
The following is a PBE calculation of Pr2Hg5 after structural relaxation, from Alexandria.

Values from the calculation:
Spin magnetization: 0.000 μB/cell
E_form: -404 meV per atom
V: 26.61 Å³ per atom
Crystal system: orthorhombic
N(E_F): 16.718 states/eV per cell
Mass density: 11.454 g/cm3

a b c (Å): 7.5278 14.3025 6.9197
angles (deg): 90.00 90.00 90.00
With the nearest neighbours (Å) after each atom.
Space group Ibam (No. 72)
Symmetry-distinct sites (fractional):
Pr (0.1995, 0.1113, 0.0000) x8  10 Hg 3.16-3.46
Hg (0.0000, 0.2712, 0.2500) x8  7 Hg 3.19-3.46, 4 Pr 3.24-3.31
Hg (0.0000, 0.5000, 0.2500) x4  8 Hg 3.17-3.46, 4 Pr 3.26
Hg (0.2198, 0.1134, 0.5000) x8  4 Pr 3.16-3.46, 6 Hg 3.17-3.29



# 16
The following is a PBE calculation of Fe5Tc after structural relaxation, from Alexandria.

Values from the calculation:
Spin magnetization: 27.718 μB/cell
E_form: 119 meV per atom
V: 11.66 Å³ per atom
Energy relative to the lowest polymorph listed for this composition: 0.563 eV per formula unit
Crystal system: cubic
N(E_F): 27.511 states/eV per cell
Mass density: 8.951 g/cm3

a b c (Å): 6.5416 6.5416 6.5416
angles (deg): 90.00 90.00 90.00
With the nearest neighbours (Å) after each atom.
Space group F-43m (No. 216)
Symmetry-distinct sites (fractional):
Fe (0.0000, 0.0000, 0.0000) x4  12 Fe 2.71, 4 Tc 2.83
Fe (0.1259, 0.1259, 0.6259) x16  6 Fe 2.30-2.33
Tc (0.2500, 0.2500, 0.2500) x4  16 Fe 2.71-2.83



# 17
The following is a PBE calculation of TaCuSn2 after structural relaxation, from Alexandria.

Values from the calculation:
Spin magnetization: 0.000 μB/cell
E_form: 259 meV per atom
V: 21.32 Å³ per atom
Energy relative to the lowest polymorph listed for this composition: 0.000 eV per formula unit
Crystal system: trigonal
N(E_F): 3.039 states/eV per cell
Mass density: 9.383 g/cm3

a b c (Å): 3.1781 3.1781 29.2519
angles (deg): 90.00 90.00 120.00
With the nearest neighbours (Å) after each atom.
Space group R-3m (No. 166, hexagonal axes)
Symmetry-distinct sites (fractional):
Ta (0.0000, 0.0000, 0.0000) x3  6 Sn 2.98, 6 Ta 3.18
Cu (0.0000, 0.0000, 0.5000) x3  2 Sn 2.53
Sn (0.0000, 0.0000, 0.4135) x6  1 Cu 2.53



# 18
The following is a PBE calculation of RbSi3C after structural relaxation, from Alexandria.

Values from the calculation:
Spin magnetization: 0.000 μB/cell
V: 18.45 Å³ per atom
Energy relative to the lowest polymorph listed for this composition: 0.000 eV per formula unit
Crystal system: cubic
N(E_F): 3.704 states/eV per cell
Raw formation energy: 6.87 eV/f.u.
Mass density: 3.272 g/cm3

a b c (Å): 4.5181 4.5181 4.5181
angles (deg): 90.00 90.00 90.00
With the nearest neighbours (Å) after each atom.
Space group Pm-3m (No. 221)
Symmetry-distinct sites (fractional):
Rb (0.0000, 0.0000, 0.0000) x1  12 Si 3.19
Si (0.0000, 0.5000, 0.5000) x3  2 C 2.26
C (0.5000, 0.5000, 0.5000) x1  6 Si 2.26



# 19
The following is a PBE calculation of La3Tl after structural relaxation, from Alexandria.

Values from the calculation:
Spin magnetization: 0.000 μB/cell
E_form: -194 meV per atom
V: 34.14 Å³ per atom
Energy relative to the lowest polymorph listed for this composition: 0.198 eV per formula unit
Crystal system: tetragonal
N(E_F): 4.949 states/eV per cell
Mass density: 7.553 g/cm3

a b c (Å): 3.7942 3.7942 9.4855
angles (deg): 90.00 90.00 90.00
With the nearest neighbours (Å) after each atom.
Space group P4/mmm (No. 123)
Symmetry-distinct sites (fractional):
La (0.0000, 0.0000, 0.0000) x1  12 La 3.72-3.79
La (0.5000, 0.5000, 0.2720) x2  4 Tl 3.45, 8 La 3.72-3.79
Tl (0.0000, 0.0000, 0.5000) x1  8 La 3.45, 4 Tl 3.79



# 20
The following is a PBE calculation of ReB2Rh after structural relaxation, from Alexandria.

Values from the calculation:
Spin magnetization: 0.000 μB/cell
E_form: 329 meV per atom
V: 11.34 Å³ per atom
Energy relative to the lowest polymorph listed for this composition: 0.315 eV per formula unit
Crystal system: tetragonal
N(E_F): 9.569 states/eV per cell
Mass density: 11.380 g/cm3

a b c (Å): 5.6063 5.6063 5.7706
angles (deg): 90.00 90.00 90.00
With the nearest neighbours (Å) after each atom.
Space group I-42d (No. 122)
Symmetry-distinct sites (fractional):
Re (0.0000, 0.0000, 0.0000) x4  4 B 2.13
B (0.2441, 0.2500, 0.6250) x8  2 Rh 2.09, 2 Re 2.13
Rh (0.0000, 0.0000, 0.5000) x4  4 B 2.09